A relaxed structure of VCrGaSi, computed with PBE-GGA.

abc: 2.9916 2.9916 13.3087
angles: 90.00 90.00 90.00
Each line ends with the local moment (μB).
Element x y z (fractional)
Cr1 0.0000 0.0000 0.1104  0.25
Cr2 0.5000 0.5000 0.6104  0.25
Si1 0.0000 0.0000 0.3077  0.00
Si2 0.5000 0.5000 0.8077  0.00
Ga1 0.0000 0.0000 0.4965  -0.01
Ga2 0.5000 0.5000 0.9965  -0.01
V1 0.0000 0.0000 0.7036  -0.04
V2 0.5000 0.5000 0.2036  -0.04

Results
Excess energy over the best structure of this formula in the dataset, meV per atom: 84


A relaxed structure of Y2CrGaSi, computed with PBE-GGA.

abc: 5.0450 4.6840 5.0450
angles: 90.00 90.00 90.00
Each line ends with the local moment (μB).
Element x y z (fractional)
Y1 0.0000 0.0000 0.5000  -0.05
Y2 0.5000 0.0000 0.0000  0.03
Cr1 0.0000 0.0000 0.0000  1.21
Si1 0.5000 0.5000 0.5000  0.10
Ga1 0.0000 0.5000 0.0000  -0.03

Results
E, eV per atom: -5.786


A relaxed structure of CrGaSn3, computed with PBE-GGA.

abc: 5.2979 5.2979 5.2979
angles: 90.00 90.00 90.00
Each line ends with the local moment (μB).
Element x y z (fractional)
Cr1 0.5000 0.5000 0.5000  4.15
Sn1 0.0000 0.5000 0.0000  -0.01
Sn2 0.0000 0.0000 0.5000  -0.01
Sn3 0.5000 0.0000 0.0000  -0.03
Ga1 0.0000 0.0000 0.0000  0.03

Results
Excess energy over the best structure of this formula in the dataset, meV per atom: 470


Number 1: total moment 0.4 μB/cell. Number 2: total moment 1.4 μB/cell. Number 3: total moment 4.8 μB/cell.